This record from the Alexandria database describes an optimized crystal structure of Ac3Hg3Pb4. The functional is PBE.

a = 9.411 Å, b = 9.411 Å, c = 9.411 Å
α = 109.47°, β = 109.47°, γ = 109.47°
Atoms (fractional coordinates):
Ac 0.250 0.875 0.125
Ac 0.625 0.750 0.875
Ac 0.125 0.375 0.250
Ac 0.875 0.250 0.625
Ac 0.375 0.125 0.750
Ac 0.750 0.625 0.375
Pb 0.186 0.686 0.686
Pb 0.500 0.314 0.500
Pb 0.314 0.500 0.000
Pb 0.500 0.814 0.500
Pb 0.686 0.186 0.186
Pb 0.000 0.000 0.814
Pb 0.814 0.500 0.000
Pb 0.000 0.000 0.314
Hg 0.625 0.875 0.250
Hg 0.250 0.375 0.625
Hg 0.125 0.750 0.375
Hg 0.750 0.125 0.875
Hg 0.375 0.250 0.125
Hg 0.875 0.625 0.750

Summary:
Total moment ... 0.0000 μB per atom
Volume ... 32.08 Å³/atom
SG ... I-43d (220)
DFT formation energy ... -0.4321 eV/atom

This record from the Alexandria database describes an optimized crystal structure of LiZrCo. The functional is PBE.

a = 4.969 Å, b = 4.969 Å, c = 3.270 Å
α = 70.79°, β = 70.80°, γ = 38.42°
Last column: magnetic moment on the atom in μB.
Atoms (fractional coordinates):
Co 0.995 0.995 0.005  0.50
Zr 0.352 0.352 0.648  -0.09
Li 0.653 0.653 0.347  -0.01

Summary:
Polymorph energy (0 for the lowest one) ... 79 meV/atom
Total moment ... 0.1197 μB per atom
Volume ... 15.67 Å³/atom
SG ... I4mm (107)
DFT formation energy ... 0.0484 eV/atom

Q: DFT formation energy of number 1 (Ac3Hg3Pb4)?
A: -0.4321 eV/atom

Q: DFT formation energy of number 2 (LiZrCo)?
A: 0.0484 eV/atom